No. 1
Sm4AlAgHg2: relaxed, PBE-GGA.

Properties
**Crystal system**: trigonal
**SG**: R-3m
**ΔE_f**: -0.38 eV per atom

Unit cell a=9.2258 b=9.2258 c=9.2258 alpha=33.34 beta=33.34 gamma=33.34
Element x y z (fractional)
Sm1 0.1244 0.1244 0.1244
Sm2 0.3746 0.3746 0.3746
Sm3 0.6254 0.6254 0.6254
Sm4 0.8756 0.8756 0.8756
Al1 0.0000 0.0000 0.0000
Ag1 0.5000 0.5000 0.5000
Hg1 0.2510 0.2510 0.2510
Hg2 0.7490 0.7490 0.7490

=====

No. 2
LiTeRh2: relaxed, PBE-GGA.

Properties
**Calculated total energy**: -5.286 eV/atom
**Crystal system**: tetragonal
**SG**: P4/mmm

Unit cell a=4.1233 b=4.1233 c=3.6014 alpha=90.00 beta=90.00 gamma=90.00
Element x y z (fractional)
Li1 0.0000 0.0000 0.0000
Te1 0.5000 0.5000 0.0000
Rh1 0.0000 0.5000 0.5000
Rh2 0.5000 0.0000 0.5000

=====

No. 3
PmPaNiSn: relaxed, PBE-GGA.

Properties
**Crystal system**: cubic
**SG**: F-43m
**ΔE_f**: -0.04 eV per atom

Unit cell a=5.1646 b=5.1646 c=5.1646 alpha=60.00 beta=60.00 gamma=60.00
Element x y z (fractional)
Pm1 0.0000 0.0000 0.0000
Pa1 0.5000 0.5000 0.5000
Ni1 0.7500 0.7500 0.7500
Sn1 0.2500 0.2500 0.2500

=====

No. 4
PrGa4Pt12: relaxed, PBE-GGA.

Properties
**Crystal system**: cubic
**SG**: Im-3
**ΔE_f**: -0.17 eV per atom

Unit cell a=7.4482 b=7.4482 c=7.4482 alpha=109.47 beta=109.47 gamma=109.47
Element x y z (fractional)
Pr1 0.0000 0.0000 0.0000
Ga1 0.0000 0.0000 0.5000
Ga2 0.0000 0.5000 0.0000
Ga3 0.5000 0.0000 0.0000
Ga4 0.5000 0.5000 0.5000
Pt1 0.1531 0.4998 0.3467
Pt2 0.1531 0.8065 0.6533
Pt3 0.1935 0.3467 0.8469
Pt4 0.3467 0.1531 0.4998
Pt5 0.3467 0.8469 0.1935
Pt6 0.4998 0.3467 0.1531
Pt7 0.5002 0.6533 0.8469
Pt8 0.6533 0.1531 0.8065
Pt9 0.6533 0.8469 0.5002
Pt10 0.8065 0.6533 0.1531
Pt11 0.8469 0.1935 0.3467
Pt12 0.8469 0.5002 0.6533

=====

No. 5
Ba2TiZnPd: relaxed, PBE-GGA.

Properties
**Crystal system**: tetragonal
**SG**: P4/mmm
**ΔE_f**: 0.39 eV per atom

Unit cell a=6.3201 b=6.3201 c=4.6432 alpha=90.00 beta=90.00 gamma=90.00
Element x y z (fractional)
Ba1 0.0000 0.5000 0.0000
Ba2 0.5000 0.0000 0.0000
Ti1 0.0000 0.0000 0.0000
Zn1 0.5000 0.5000 0.5000
Pd1 0.0000 0.0000 0.5000

=====

No. 6
Ca2ZnCrAs: relaxed, PBE-GGA.

Properties
**Crystal system**: tetragonal
**SG**: P4/mmm
**ΔE_f**: 0.16 eV per atom

Unit cell a=5.5958 b=5.5958 c=4.8511 alpha=90.00 beta=90.00 gamma=90.00
Element x y z (fractional)
Ca1 0.0000 0.5000 0.0000
Ca2 0.5000 0.0000 0.0000
Zn1 0.0000 0.0000 0.5000
Cr1 0.5000 0.5000 0.5000
As1 0.0000 0.0000 0.0000

=====

No. 7
Tb5PmNd8: relaxed, PBE-GGA.

Properties
**Crystal system**: tetragonal
**SG**: I-4
**ΔE_f**: 0.24 eV per atom

Unit cell a=8.6070 b=8.6070 c=8.6070 alpha=111.39 beta=111.39 gamma=105.69
Element x y z (fractional)
Tb1 0.0000 0.0000 0.0000
Tb2 0.3189 0.6327 0.0970
Tb3 0.3673 0.4643 0.6861
Tb4 0.5357 0.2219 0.9030
Tb5 0.7781 0.6811 0.3139
Pm1 0.7500 0.2500 0.5000
Nd1 0.0301 0.4258 0.2557
Nd2 0.0667 0.1605 0.7340
Nd3 0.1700 0.7744 0.7443
Nd4 0.2256 0.9699 0.3956
Nd5 0.4265 0.3327 0.2660
Nd6 0.5742 0.8300 0.6044
Nd7 0.6673 0.9333 0.0938
Nd8 0.8395 0.5735 0.9062

=====

No. 8
ScH6Rh2: relaxed, PBE-GGA.

Properties
**Calculated total energy**: -4.799 eV/atom
**Crystal system**: trigonal
**SG**: P321

Unit cell a=7.9199 b=7.9199 c=4.1406 alpha=90.00 beta=90.00 gamma=120.00
Element x y z (fractional)
Sc1 0.0000 0.0000 0.0000
Sc2 0.3333 0.6667 0.5087
Sc3 0.6667 0.3333 0.4913
H1 0.0797 0.5638 0.2349
H2 0.1051 0.2559 0.2677
H3 0.1508 0.8949 0.2677
H4 0.1948 0.7862 0.7811
H5 0.2138 0.4086 0.7811
H6 0.2559 0.1051 0.7323
H7 0.4086 0.2138 0.2189
H8 0.4362 0.5159 0.2349
H9 0.4841 0.9203 0.2349
H10 0.5159 0.4362 0.7651
H11 0.5638 0.0797 0.7651
H12 0.5914 0.8052 0.7811
H13 0.7441 0.8492 0.2677
H14 0.7862 0.1948 0.2189
H15 0.8052 0.5914 0.2189
H16 0.8492 0.7441 0.7323
H17 0.8949 0.1508 0.7323
H18 0.9203 0.4841 0.7651
Rh1 0.0000 0.3505 0.0000
Rh2 0.0000 0.6846 0.5000
Rh3 0.3154 0.3154 0.5000
Rh4 0.3505 0.0000 0.0000
Rh5 0.6495 0.6495 0.0000
Rh6 0.6846 0.0000 0.5000

=====

No. 9
RbLiTlBr3: relaxed, PBE-GGA.

Properties
**Calculated total energy**: -3.083 eV/atom
**Crystal system**: monoclinic
**SG**: P2_1/m

Unit cell a=10.1240 b=4.5276 c=10.2054 alpha=90.00 beta=97.46 gamma=90.00
Element x y z (fractional)
Rb1 0.1950 0.2500 0.1588
Rb2 0.8050 0.7500 0.8412
Li1 0.4060 0.7500 0.9115
Li2 0.5940 0.2500 0.0885
Tl1 0.1673 0.2500 0.6377
Tl2 0.8327 0.7500 0.3623
Br1 0.1480 0.7500 0.4010
Br2 0.1579 0.7500 0.8904
Br3 0.4947 0.7500 0.1590
Br4 0.5053 0.2500 0.8410
Br5 0.8421 0.2500 0.1096
Br6 0.8520 0.2500 0.5990

=====

No. 10
ZrTlSe2: relaxed, PBE-GGA.

Properties
**Calculated total energy**: -5.145 eV/atom
**Crystal system**: tetragonal
**SG**: I4_1/amd

Unit cell a=7.2651 b=7.2651 c=7.2651 alpha=132.31 beta=132.31 gamma=69.73
Element x y z (fractional)
Zr1 0.3750 0.6250 0.7500
Zr2 0.6250 0.3750 0.2500
Tl1 0.1250 0.8750 0.2500
Tl2 0.8750 0.1250 0.7500
Se1 0.1451 0.3951 0.7500
Se2 0.3951 0.1451 0.2500
Se3 0.6049 0.8549 0.7500
Se4 0.8549 0.6049 0.2500

=====

No. 11
Ce3HfO6: relaxed, PBE-GGA.

Properties
**Calculated total energy**: -9.010 eV/atom
**Crystal system**: trigonal
**SG**: R-3

Unit cell a=6.8782 b=6.8782 c=6.8782 alpha=92.49 beta=92.49 gamma=92.49
Element x y z (fractional)
Ce1 0.0557 0.7551 0.5641
Ce2 0.2449 0.4359 0.9443
Ce3 0.4359 0.9443 0.2449
Ce4 0.5641 0.0557 0.7551
Ce5 0.7551 0.5641 0.0557
Ce6 0.9443 0.2449 0.4359
Hf1 0.0000 0.0000 0.0000
Hf2 0.5000 0.5000 0.5000
O1 0.0429 0.7070 0.9118
O2 0.0882 0.9571 0.2930
O3 0.2058 0.4397 0.5698
O4 0.2930 0.0882 0.9571
O5 0.4302 0.7942 0.5603
O6 0.4397 0.5698 0.2058
O7 0.5603 0.4302 0.7942
O8 0.5698 0.2058 0.4397
O9 0.7070 0.9118 0.0429
O10 0.7942 0.5603 0.4302
O11 0.9118 0.0429 0.7070
O12 0.9571 0.2930 0.0882

=====

No. 12
Pm6AgSe5: relaxed, PBE-GGA.

Properties
**Calculated total energy**: -5.642 eV/atom
**Crystal system**: monoclinic
**SG**: C2/m

Unit cell a=7.3052 b=7.3052 c=7.2974 alpha=99.61 beta=99.61 gamma=120.06
Element x y z (fractional)
Pm1 0.0761 0.4171 0.7472
Pm2 0.2449 0.2449 0.2529
Pm3 0.4171 0.0761 0.7472
Pm4 0.5829 0.9239 0.2528
Pm5 0.7551 0.7551 0.7471
Pm6 0.9239 0.5829 0.2528
Ag1 0.5000 0.5000 0.0000
Se1 0.0000 0.0000 0.5000
Se2 0.1657 0.8343 0.0000
Se3 0.3341 0.6659 0.5000
Se4 0.6659 0.3341 0.5000
Se5 0.8343 0.1657 0.0000

=====

Values of DOS(E_F), in order: 1.08 0.44 1.97 0.56 1.10 0.68 1.49 0.30 0.00 0.68 1.41 0.45, all in states/eV/atom.